(1)
# MgTlBrCl2

Crystalline MgTlBrCl2 at its relaxed geometry (PBE-GGA, Alexandria).

a b c (Å): 8.7670 8.7670 8.2821
angles (deg): 90.00 90.00 152.47
Sites, in units of the cell vectors:
Mg 0.0000 0.0000 0.0000
Mg 0.0000 0.0000 0.5000
Tl 0.2930 0.7070 0.7500
Tl 0.7070 0.2930 0.2500
Br 0.4983 0.5017 0.7500
Br 0.5017 0.4983 0.2500
Cl 0.1375 0.8625 0.5030
Cl 0.1375 0.8625 0.9970
Cl 0.8625 0.1375 0.0030
Cl 0.8625 0.1375 0.4970

Properties
E_form (uncorrected) (eV/atom): -1.331
Relative energy among the computed polymorphs (meV/atom): 63

---

(2)
# MgTlBr2Cl

Crystalline MgTlBr2Cl at its relaxed geometry (PBE-GGA, Alexandria).

a b c (Å): 5.4001 5.4001 4.9259
angles (deg): 90.00 90.00 90.00
Sites, in units of the cell vectors:
Mg 0.0000 0.0000 0.0000
Tl 0.5000 0.5000 0.5000
Br 0.0000 0.5000 0.0000
Br 0.5000 0.0000 0.0000
Cl 0.0000 0.0000 0.5000

Properties
E_form (uncorrected) (eV/atom): -1.285
Relative energy among the computed polymorphs (meV/atom): 2

---

(3)
# MgTl2Br3Cl

Crystalline MgTl2Br3Cl at its relaxed geometry (PBE-GGA, Alexandria).

a b c (Å): 9.1923 9.1923 9.1923
angles (deg): 148.72 146.31 46.63
Sites, in units of the cell vectors:
Mg 0.0000 0.0000 0.0000
Tl 0.3563 0.3563 0.0000
Tl 0.6437 0.6437 0.0000
Br 0.1605 0.1605 0.0000
Br 0.5000 0.0000 0.5000
Br 0.8395 0.8395 0.0000
Cl 0.0000 0.5000 0.5000

Properties
E_form (uncorrected) (eV/atom): -1.174

---

(4)
# MgTlBr2Cl

Crystalline MgTlBr2Cl at its relaxed geometry (PBE-GGA, Alexandria).

a b c (Å): 7.3239 7.3239 7.3239
angles (deg): 117.48 117.48 94.42
Sites, in units of the cell vectors:
Mg 0.0000 0.0000 0.0000
Mg 0.5000 0.5000 0.0000
Tl 0.2500 0.7500 0.5000
Tl 0.7500 0.2500 0.5000
Br 0.2173 0.7173 0.9346
Br 0.2827 0.2173 0.5000
Br 0.7173 0.7827 0.5000
Br 0.7827 0.2827 0.0654
Cl 0.2500 0.2500 0.0000
Cl 0.7500 0.7500 0.0000

Properties
E_form (uncorrected) (eV/atom): -1.288
Relative energy among the computed polymorphs (meV/atom): 0

---

(5)
# MgW2BrCl

Crystalline MgW2BrCl at its relaxed geometry (PBE-GGA, Alexandria).

a b c (Å): 4.6229 4.6229 6.0118
angles (deg): 90.00 90.00 90.00
Sites, in units of the cell vectors:
Mg 0.0000 0.0000 0.0000
W 0.0000 0.5000 0.5000
W 0.5000 0.0000 0.5000
Br 0.5000 0.5000 0.5000
Cl 0.5000 0.5000 0.0000

Properties
E_form (uncorrected) (eV/atom): 1.747

---

(6)
# MnBrCl2

Crystalline MnBrCl2 at its relaxed geometry (PBE-GGA, Alexandria).

a b c (Å): 9.8270 9.8270 9.8270
angles (deg): 21.56 21.56 21.56
Sites, in units of the cell vectors:
Mn 0.0000 0.0000 0.0000
Br 0.7219 0.7219 0.7219
Cl 0.2866 0.2866 0.2866
Cl 0.5047 0.5047 0.5047

Properties
E_form (uncorrected) (eV/atom): -0.440
Relative energy among the computed polymorphs (meV/atom): 395

---

Number 1: total energy -3.20 eV/atom. Number 2: total energy -3.12 eV/atom. Number 3: total energy -3.06 eV/atom. Number 4: total energy -3.12 eV/atom. Number 5: total energy -4.46 eV/atom. Number 6: total energy -4.07 eV/atom.